A PBEsol-optimized structure of K2SbAs2, computed with SCAN.

Lattice parameters (Å, degrees): 7.369 7.369 5.184 90.00 90.00 90.00
Positions (direct):
K: 0.179 0.321 0.000
K: 0.321 0.821 0.000
K: 0.679 0.179 0.000
K: 0.821 0.679 0.000
Sb: 0.000 0.000 0.500
Sb: 0.500 0.500 0.500
As: 0.118 0.618 0.500
As: 0.382 0.118 0.500
As: 0.618 0.882 0.500
As: 0.882 0.382 0.500

Space-group type: P4/mbm (127)
Raw formation energy in kJ/mol of formula units: -195
Calculated density in g/cm3: 4.1
Total DFT energy (no corrections) in eV for the cell shown: -192.7